Computed, not measured: a geometry-optimized Y2Mg structure at the PBEsol level of DFT.

Values from the calculation:
Total DFT energy (no corrections) = -4.684 eV/atom
Space group = Fm-3m (225)
Volume = 32.8 Å³/atom

```
Y2Mg
1.0
5.1796 0.0000 0.0000
2.5898 4.4857 0.0000
2.5898 1.4952 4.2291
Mg Y
1 2
direct
0.0000 0.0000 0.0000 Mg
0.7500 0.7500 0.7500 Y
0.2500 0.2500 0.2500 Y
```